A plane-wave DFT calculation with PBE with a Hubbard U was carried out for a relaxed Mn2PbSeO crystal.

extended XYZ file:
```
5
Lattice="5.467 0.000 0.000 0.000 5.467 0.000 0.000 0.000 4.278" Properties=species:S:1:pos:R:3 pbc="T T T"
Mn 0.000 2.733 0.000
Mn 2.733 0.000 0.000
Pb 0.000 0.000 0.000
Se 2.733 2.733 2.139
O 0.000 0.000 2.139
```

Results
The calculation puts the density of states at the Fermi level at 0.821 states/eV per atom. Its space group is P4/mmm (123). As for the uncorrected energy: -0.363 Ry/atom. For the calculated volume, the calculation gives 127.9 Å³/f.u.